Record 1
{"formula": "PHS", "functional": "PBE", "state": "relaxed", "e_above_lowest_polymorph_mev_per_atom": 6.7, "magnetic_moment_mub_per_fu": 0.00, "mass_density_g_cm3": 1.7, "total_energy_ev_per_cell": -13.0, "dos_at_fermi_per_ev_cell": 0.0, "lattice": [[4.300, 0.000, 0.029], [0.000, 3.139, 0.000], [-1.842, 0.000, 4.640]], "species": ["S", "P", "H"], "fractional_positions": [[0.180, 0.500, 0.597], [0.480, 0.000, 0.860], [0.317, 0.000, 0.066]]}

***

Record 2
{"formula": "CsNaHfIn2", "functional": "PBE", "state": "relaxed", "formation_enthalpy_0k_ev_per_atom": 1.5641, "magnetic_moment_mub_per_fu": 1.29, "mass_density_g_cm3": 4.6, "total_energy_ev_per_cell": -9.8, "dos_at_fermi_per_ev_cell": 7.1, "lattice": [[-0.802, -2.135, 5.648], [0.123, -5.110, -1.914], [6.037, -0.153, 0.799]], "species": ["In", "In", "Cs", "Hf", "Na"], "fractional_positions": [[0.000, 0.000, 0.500], [0.500, 0.000, 0.000], [0.000, 0.000, 0.000], [0.500, 0.500, 0.500], [0.000, 0.500, 0.000]]}

***

Record 3
{"formula": "CaNb2N", "functional": "PBE", "state": "relaxed", "formation_energy_uncorrected_ev_per_atom": -0.0024, "magnetic_moment_mub_per_fu": 0.00, "mass_density_g_cm3": 4.2, "total_energy_ev_per_cell": -61.0, "dos_at_fermi_per_ev_cell": 0.7, "lattice": [[-3.576, 1.710, -5.095], [-0.758, -6.219, -1.555], [-5.925, -2.440, -0.750]], "species": ["Nb", "Nb", "Nb", "Nb", "Ca", "Ca", "N", "N"], "fractional_positions": [[0.376, 0.625, 0.250], [0.875, 0.624, 0.750], [0.374, 0.125, 0.250], [0.375, 0.626, 0.750], [0.000, 0.000, 0.000], [0.750, 0.250, 0.500], [0.250, 0.750, 0.500], [0.500, 0.500, 0.000]]}

***

Record 4
{"formula": "Li2Tc2Os", "functional": "PBE", "state": "relaxed", "e_above_lowest_polymorph_mev_per_atom": 0.0, "formation_enthalpy_0k_ev_per_atom": 0.7009, "magnetic_moment_mub_per_fu": 0.00, "mass_density_g_cm3": 9.8, "total_energy_ev_per_cell": -64.6, "dos_at_fermi_per_ev_cell": 9.9, "lattice": [[-1.872, -5.213, 3.796], [-1.438, -3.516, -5.538], [2.821, -1.057, -0.061]], "species": ["Li", "Li", "Li", "Li", "Os", "Os", "Tc", "Tc", "Tc", "Tc"], "fractional_positions": [[0.320, 0.180, 0.500], [0.180, 0.680, 0.500], [0.820, 0.320, 0.500], [0.680, 0.820, 0.500], [0.000, 0.000, 0.000], [0.500, 0.500, 0.000], [0.120, 0.380, 0.000], [0.620, 0.120, 0.000], [0.380, 0.880, 0.000], [0.880, 0.620, 0.000]]}

***

Record 5
{"formula": "SrPtW", "functional": "PBE", "state": "relaxed", "e_above_lowest_polymorph_mev_per_atom": 36.6, "formation_enthalpy_0k_ev_per_atom": 0.0095, "magnetic_moment_mub_per_fu": 0.00, "mass_density_g_cm3": 10.8, "total_energy_ev_per_cell": -41.3, "dos_at_fermi_per_ev_cell": 5.0, "lattice": [[4.109, -0.002, 0.000], [0.002, 3.966, 0.002], [2.053, -1.987, 8.826]], "species": ["W", "W", "Pt", "Pt", "Sr", "Sr"], "fractional_positions": [[0.818, 0.846, 0.261], [0.401, 0.346, 0.261], [0.410, 0.742, 0.053], [0.202, 0.950, 0.469], [0.639, 0.516, 0.602], [0.980, 0.176, 0.920]]}

***

Record 6
{"formula": "PaTeIF", "functional": "PBE", "state": "relaxed", "formation_energy_uncorrected_ev_per_atom": -1.7512, "magnetic_moment_mub_per_fu": 1.00, "mass_density_g_cm3": 6.8, "total_energy_ev_per_cell": -23.1, "dos_at_fermi_per_ev_cell": 5.6, "lattice": [[4.167, -0.014, -0.005], [-2.071, 3.615, 0.005], [-2.072, -1.205, 8.179]], "species": ["F", "I", "Pa", "Te"], "fractional_positions": [[0.515, 0.622, 0.137], [0.351, 0.041, 0.392], [0.829, 0.279, 0.107], [0.997, 0.863, 0.860]]}

***

Record 7
{"formula": "Sm2SbS6", "functional": "PBE", "state": "relaxed", "formation_energy_uncorrected_ev_per_atom": -1.0421, "magnetic_moment_mub_per_fu": 0.00, "mass_density_g_cm3": 5.0, "total_energy_ev_per_cell": -95.4, "dos_at_fermi_per_ev_cell": 9.3, "lattice": [[-5.206, 2.597, 0.712], [-0.954, -3.678, 6.436], [4.382, 6.787, 4.529]], "species": ["S", "S", "S", "S", "S", "S", "S", "S", "S", "S", "S", "S", "Sb", "Sb", "Sm", "Sm", "Sm", "Sm"], "fractional_positions": [[0.833, 0.689, 0.543], [0.333, 0.811, 0.043], [0.101, 0.030, 0.760], [0.601, 0.470, 0.260], [0.358, 0.829, 0.449], [0.899, 0.970, 0.240], [0.167, 0.311, 0.457], [0.142, 0.329, 0.051], [0.399, 0.530, 0.740], [0.642, 0.171, 0.551], [0.858, 0.671, 0.949], [0.667, 0.189, 0.957], [0.500, 0.500, 0.000], [0.000, 0.000, 0.500], [0.437, 0.110, 0.242], [0.937, 0.390, 0.742], [0.063, 0.610, 0.258], [0.563, 0.890, 0.758]]}

***

Record 8
{"formula": "CaSc2VRh", "functional": "PBE", "state": "relaxed", "formation_enthalpy_0k_ev_per_atom": 0.1916, "magnetic_moment_mub_per_fu": 0.00, "mass_density_g_cm3": 4.1, "total_energy_ev_per_cell": -30.2, "dos_at_fermi_per_ev_cell": 5.1, "lattice": [[5.009, 0.000, 0.000], [0.000, 4.564, 0.000], [0.000, 0.000, 5.009]], "species": ["Ca", "Rh", "V", "Sc", "Sc"], "fractional_positions": [[0.500, 0.500, 0.500], [0.000, 0.500, 0.000], [0.000, 0.000, 0.000], [0.000, 0.000, 0.500], [0.500, 0.000, 0.000]]}